Computed, not measured: an optimized crystal structure of AcGe2Sb at the GGA-PBE level of DFT.

Results
**Offset from the most stable computed form**: 0.000 eV per atom
**Formation energy without anion corrections**: -0.4034 eV/atom
**Spin magnetization**: 0.0 Bohr magnetons per cell
**Symmetry**: P4/mmm
**ρ**: 7899 kg/m³

Cell: 4.798 4.798 4.512 Å, 90.00 90.00 90.00°
Positions (direct):
Ac1 0.000 0.000 0.000
Ge1 0.000 0.500 0.500
Ge2 0.500 0.000 0.500
Sb1 0.500 0.500 0.000